No. 1
{
  "formula": "Sr2ZrNpO6",
  "functional": "PBE-GGA",
  "state": "relaxed",
  "density_g_cm3": 6.6,
  "dos_at_fermi_per_ev_atom": 0.962,
  "raw_formation_energy_kcal_per_mol_atoms": -71.427,
  "lattice_angstrom": [[5.935, 0.000, -0.012], [0.000, 6.039, 0.000], [0.035, 0.000, 8.446]],
  "species": ["O", "O", "O", "Zr", "O", "Np", "O", "Sr", "O", "O", "O", "Np", "O", "Sr", "O", "Sr", "Zr", "Sr", "O", "O"],
  "frac_coords": [[0.590, 0.030, 0.244], [0.090, 0.470, 0.744], [0.410, 0.970, 0.756], [0.000, 0.500, 0.500], [0.701, 0.287, 0.951], [0.000, 0.500, 0.000], [0.299, 0.713, 0.049], [0.010, 0.960, 0.250], [0.799, 0.787, 0.549], [0.713, 0.297, 0.547], [0.910, 0.530, 0.256], [0.500, 0.000, 0.500], [0.201, 0.213, 0.451], [0.990, 0.040, 0.750], [0.787, 0.797, 0.953], [0.510, 0.540, 0.750], [0.500, 0.000, 0.000], [0.490, 0.460, 0.250], [0.213, 0.203, 0.047], [0.287, 0.703, 0.453]]
}

=====

No. 2
{
  "formula": "SrZrNpO6",
  "functional": "PBE-GGA",
  "state": "relaxed",
  "density_g_cm3": 5.8,
  "raw_formation_energy_kcal_per_mol_atoms": -70.795,
  "lattice_angstrom": [[5.672, 0.000, 0.000], [-2.836, 4.912, 0.000], [0.000, 0.000, 10.474]],
  "species": ["O", "O", "O", "O", "Np", "O", "O", "Zr", "O", "O", "Zr", "O", "O", "Sr", "Np", "O", "O", "Sr"],
  "frac_coords": [[0.633, 0.007, 0.355], [0.007, 0.374, 0.645], [0.367, 0.374, 0.855], [0.374, 0.007, 0.145], [0.667, 0.333, 0.250], [0.993, 0.367, 0.145], [0.633, 0.626, 0.145], [0.333, 0.667, 0.250], [0.626, 0.633, 0.645], [0.993, 0.626, 0.355], [0.667, 0.333, 0.750], [0.374, 0.367, 0.355], [0.007, 0.633, 0.855], [0.000, 0.000, 0.500], [0.333, 0.667, 0.750], [0.367, 0.993, 0.645], [0.626, 0.993, 0.855], [0.000, 0.000, 0.000]]
}